Entry from Alexandria: Ho7Cu2Ni2 after structural relaxation (GGA-PBE).

```
data_Ho7Cu2Ni2
_chemical_formula_sum 'Ho14 Cu4 Ni4'
_cell_length_a 7.3638
_cell_length_b 10.8181
_cell_length_c 6.8511
_cell_angle_alpha 90.00
_cell_angle_beta 90.00
_cell_angle_gamma 90.00
_symmetry_space_group_name_H-M 'C m m m'
_symmetry_Int_Tables_number 65
_symmetry_space_group_name_Hall '-C 2 2'
loop_
_atom_site_label
_atom_site_type_symbol
_atom_site_fract_x
_atom_site_fract_y
_atom_site_fract_z
Ho1 Ho 0.0000 0.0000 0.0000
Ho2 Ho 0.0000 0.5000 0.2531
Ho3 Ho 0.2500 0.2500 0.2588
Cu1 Cu 0.1702 0.0000 0.5000
Ni1 Ni 0.0000 0.2968 0.0000
```

Results
As for the crystal system: orthorhombic. The calculation puts the total magnetization at 0.0 Bohr magnetons per cell. Its energy of formation is -0.08 eV/atom.

Entry from Alexandria: Ho2CuNi after structural relaxation (GGA-PBE).

```
data_Ho2CuNi
_chemical_formula_sum 'Ho2 Cu1 Ni1'
_cell_length_a 3.3985
_cell_length_b 3.3985
_cell_length_c 6.8460
_cell_angle_alpha 90.00
_cell_angle_beta 90.00
_cell_angle_gamma 90.00
_symmetry_space_group_name_H-M 'P 4/m m m'
_symmetry_Int_Tables_number 123
_symmetry_space_group_name_Hall '-P 4 2'
loop_
_atom_site_label
_atom_site_type_symbol
_atom_site_fract_x
_atom_site_fract_y
_atom_site_fract_z
Ho1 Ho 0.0000 0.0000 0.2429
Cu1 Cu 0.5000 0.5000 0.5000
Ni1 Ni 0.5000 0.5000 0.0000
```

Results
As for the crystal system: tetragonal. The calculation puts the total magnetization at 0.0 Bohr magnetons per cell. Its energy of formation is -0.34 eV/atom.

Entry from Alexandria: HoCuNi2 after structural relaxation (GGA-PBE).

```
data_HoCuNi2
_chemical_formula_sum 'Ho4 Cu4 Ni8'
_cell_length_a 6.1983
_cell_length_b 6.1983
_cell_length_c 6.1983
_cell_angle_alpha 90.00
_cell_angle_beta 90.00
_cell_angle_gamma 90.00
_symmetry_space_group_name_H-M 'F m -3 m'
_symmetry_Int_Tables_number 225
_symmetry_space_group_name_Hall '-F 4 2 3'
loop_
_atom_site_label
_atom_site_type_symbol
_atom_site_fract_x
_atom_site_fract_y
_atom_site_fract_z
Ho1 Ho 0.0000 0.0000 0.0000
Cu1 Cu 0.0000 0.0000 0.5000
Ni1 Ni 0.2500 0.2500 0.2500
```

Results
As for the crystal system: cubic. The calculation puts the total magnetization at 0.0 Bohr magnetons per cell. Its energy of formation is -0.17 eV/atom.

Entry from Alexandria: HoCu2Ni9 after structural relaxation (GGA-PBE).

```
data_HoCu2Ni9
_chemical_formula_sum 'Ho3 Cu6 Ni27'
_cell_length_a 4.7713
_cell_length_b 4.7713
_cell_length_c 23.1186
_cell_angle_alpha 90.00
_cell_angle_beta 90.00
_cell_angle_gamma 120.00
_symmetry_space_group_name_H-M 'R -3 m'
_symmetry_Int_Tables_number 166
_symmetry_space_group_name_Hall '-R 3 2"'
loop_
_atom_site_label
_atom_site_type_symbol
_atom_site_fract_x
_atom_site_fract_y
_atom_site_fract_z
Ho1 Ho 0.0000 0.0000 0.0000
Cu1 Cu 0.0000 0.0000 0.1472
Ni1 Ni 0.0000 0.0000 0.3342
Ni2 Ni 0.0000 0.0000 0.5000
Ni3 Ni 0.0050 0.5025 0.9136
```

Results
As for the crystal system: trigonal. The calculation puts the total magnetization at 10.5 Bohr magnetons per cell. The value obtained for the energy above the most stable polymorph in this dataset is 67.9 meV per atom. Its energy of formation is -0.07 eV/atom.

Entry from Alexandria: HoCu2Ni4 after structural relaxation (GGA-PBE).

```
data_HoCu2Ni4
_chemical_formula_sum 'Ho2 Cu4 Ni8'
_cell_length_a 7.8464
_cell_length_b 6.1910
_cell_length_c 4.8176
_cell_angle_alpha 90.00
_cell_angle_beta 127.68
_cell_angle_gamma 90.00
_symmetry_space_group_name_H-M 'C 1 2/m 1'
_symmetry_Int_Tables_number 12
loop_
_symmetry_equiv_pos_as_xyz
'x,y,z'
'-x,-y,-z'
'-x,y,-z'
'x,-y,z'
'x+1/2,y+1/2,z'
'-x+1/2,-y+1/2,-z'
'-x+1/2,y+1/2,-z'
'x+1/2,-y+1/2,z'
loop_
_atom_site_label
_atom_site_type_symbol
_atom_site_fract_x
_atom_site_fract_y
_atom_site_fract_z
Ho1 Ho 0.0000 0.0000 0.0000
Cu1 Cu 0.9997 0.5000 0.2495
Ni1 Ni 0.1931 0.1933 0.6928
```

Results
As for the crystal system: monoclinic. The calculation puts the total magnetization at 0.0 Bohr magnetons per cell. The value obtained for the energy above the most stable polymorph in this dataset is 0.0 meV per atom. Its energy of formation is -0.18 eV/atom.

Entry from Alexandria: HoCu2Ni3 after structural relaxation (GGA-PBE).

```
data_HoCu2Ni3
_chemical_formula_sum 'Ho6 Cu12 Ni18'
_cell_length_a 5.3253
_cell_length_b 5.3253
_cell_length_c 19.8416
_cell_angle_alpha 90.00
_cell_angle_beta 90.00
_cell_angle_gamma 120.00
_symmetry_space_group_name_H-M 'R -3 m'
_symmetry_Int_Tables_number 166
_symmetry_space_group_name_Hall '-R 3 2"'
loop_
_atom_site_label
_atom_site_type_symbol
_atom_site_fract_x
_atom_site_fract_y
_atom_site_fract_z
Ho1 Ho 0.0000 0.0000 0.2124
Cu1 Cu 0.0000 0.0000 0.0000
Cu2 Cu 0.0000 0.5000 0.0000
Ni1 Ni 0.0186 0.5093 0.2297
```

Results
As for the crystal system: trigonal. The calculation puts the total magnetization at 0.0 Bohr magnetons per cell. Its energy of formation is -0.14 eV/atom.

Entry from Alexandria: Ho2Cu12Ni5 after structural relaxation (GGA-PBE).

```
data_Ho2Cu12Ni5
_chemical_formula_sum 'Ho6 Cu36 Ni15'
_cell_length_a 8.4381
_cell_length_b 8.4381
_cell_length_c 12.3474
_cell_angle_alpha 90.00
_cell_angle_beta 90.00
_cell_angle_gamma 120.00
_symmetry_space_group_name_H-M 'R -3 m'
_symmetry_Int_Tables_number 166
_symmetry_space_group_name_Hall '-R 3 2"'
loop_
_atom_site_label
_atom_site_type_symbol
_atom_site_fract_x
_atom_site_fract_y
_atom_site_fract_z
Ho1 Ho 0.0000 0.0000 0.1708
Cu1 Cu 0.0000 0.2936 0.5000
Cu2 Cu 0.0008 0.5004 0.3471
Ni1 Ni 0.0000 0.0000 0.4007
Ni2 Ni 0.0000 0.5000 0.0000
```

Results
As for the crystal system: trigonal. The calculation puts the total magnetization at 0.0 Bohr magnetons per cell. Its energy of formation is -0.16 eV/atom.

Entry from Alexandria: Ho6Cu5Ni after structural relaxation (GGA-PBE).

```
data_Ho6Cu5Ni
_chemical_formula_sum 'Ho12 Cu10 Ni2'
_cell_length_a 4.8578
_cell_length_b 14.6014
_cell_length_c 6.8636
_cell_angle_alpha 90.00
_cell_angle_beta 90.00
_cell_angle_gamma 90.00
_symmetry_space_group_name_H-M 'C m m m'
_symmetry_Int_Tables_number 65
_symmetry_space_group_name_Hall '-C 2 2'
loop_
_atom_site_label
_atom_site_type_symbol
_atom_site_fract_x
_atom_site_fract_y
_atom_site_fract_z
Ho1 Ho 0.0000 0.0000 0.2454
Ho2 Ho 0.0000 0.3358 0.2480
Cu1 Cu 0.0000 0.1672 0.5000
Cu2 Cu 0.0000 0.1692 0.0000
Cu3 Cu 0.0000 0.5000 0.5000
Ni1 Ni 0.0000 0.5000 0.0000
```

Results
As for the crystal system: orthorhombic. The calculation puts the total magnetization at 0.0 Bohr magnetons per cell. Its energy of formation is -0.29 eV/atom.